Entry 1:
A plane-wave DFT calculation with PBE-GGA was carried out for LiLaTc2 after structural relaxation.

It has space group I-42d (No. 122), with a = 7.7210 Å, b = 7.7210 Å, c = 4.9555 Å, α = 90.00°, β = 90.00° and γ = 90.00°. The inequivalent atoms are Li at (0.0000, 0.0000, 0.0000), La at (0.0000, 0.0000, 0.5000) and Tc at (0.1954, 0.7500, 0.1250).

The magnetization is 0.00 μB/atom. Its total energy is -98.672 eV/cell. The value obtained for the excess energy over the best structure of this formula in the dataset is 609 meV per atom.



Entry 2:
A plane-wave DFT calculation with PBE-GGA was carried out for LiLa2Tc after structural relaxation.

It has space group Pm (No. 6), with a = 3.6708 Å, b = 4.8745 Å, c = 5.5560 Å, α = 90.00°, β = 101.24° and γ = 90.00°. The inequivalent atoms are Li at (0.0000, 0.0000, 0.0000), La at (0.4649, 0.5000, 0.8812), La at (0.6130, 0.0000, 0.4237) and Tc at (0.9840, 0.5000, 0.3059).

The magnetization is 0.00 μB/atom. Its total energy is -21.438 eV/cell.



Entry 3:
A plane-wave DFT calculation with PBE-GGA was carried out for LiLaTc2 after structural relaxation.

It has space group Pmmm (No. 47), with a = 3.4022 Å, b = 4.3495 Å, c = 4.8690 Å, α = 90.00°, β = 90.00° and γ = 90.00°. The inequivalent atoms are Li at (0.0000, 0.0000, 0.0000), La at (0.5000, 0.5000, 0.0000), Tc at (0.0000, 0.5000, 0.5000) and Tc at (0.5000, 0.0000, 0.5000).

The magnetization is 0.00 μB/atom. Its total energy is -25.734 eV/cell. The value obtained for the excess energy over the best structure of this formula in the dataset is 342 meV per atom.



Entry 4:
A plane-wave DFT calculation with PBE-GGA was carried out for LiLaTc2 after structural relaxation.

It has space group Pm (No. 6), with a = 3.0584 Å, b = 4.2393 Å, c = 6.0718 Å, α = 90.00°, β = 104.53° and γ = 90.00°. The inequivalent atoms are Li at (0.0000, 0.0000, 0.0000), La at (0.3756, 0.5000, 0.6897), Tc at (0.4015, 0.5000, 0.2408) and Tc at (0.7915, 0.0000, 0.3830).

The magnetization is 0.00 μB/atom. Its total energy is -26.483 eV/cell. The value obtained for the excess energy over the best structure of this formula in the dataset is 155 meV per atom.



Entry 5:
A plane-wave DFT calculation with PBE-GGA was carried out for LiLaTc2 after structural relaxation.

It has space group P2/m (No. 10), with a = 3.2741 Å, b = 4.7826 Å, c = 4.6102 Å, α = 90.00°, β = 95.78° and γ = 90.00°. The inequivalent atoms are Li at (0.0000, 0.0000, 0.0000), La at (0.5000, 0.0000, 0.5000) and Tc at (0.1876, 0.5000, 0.7706).

The magnetization is 0.00 μB/atom. Its total energy is -25.846 eV/cell. The value obtained for the excess energy over the best structure of this formula in the dataset is 314 meV per atom.



Entry 6:
A plane-wave DFT calculation with PBE-GGA was carried out for LiLaTc2 after structural relaxation.

It has space group Cmm2 (No. 35), with a = 3.1586 Å, b = 4.8533 Å, c = 9.8796 Å, α = 90.00°, β = 90.00° and γ = 90.00°. The inequivalent atoms are Li at (0.0000, 0.0000, 0.0000), La at (0.0000, 0.5000, 0.6790), Tc at (0.0000, 0.0000, 0.4215) and Tc at (0.0000, 0.5000, 0.2218).

The magnetization is 0.00 μB/atom. Its total energy is -51.334 eV/cell. The value obtained for the excess energy over the best structure of this formula in the dataset is 359 meV per atom.



Entry 7:
A plane-wave DFT calculation with PBE-GGA was carried out for LiLaTc2 after structural relaxation.

It has space group Immm (No. 71), with a = 3.4146 Å, b = 4.4602 Å, c = 9.4126 Å, α = 90.00°, β = 90.00° and γ = 90.00°. The inequivalent atoms are Li at (0.0000, 0.0000, 0.0000), La at (0.0000, 0.0000, 0.5000) and Tc at (0.0000, 0.5000, 0.2490).

The magnetization is 0.00 μB/atom. Its total energy is -51.149 eV/cell. The value obtained for the excess energy over the best structure of this formula in the dataset is 382 meV per atom.



Entry 8:
A plane-wave DFT calculation with PBE-GGA was carried out for LiLa2Tc after structural relaxation.

It has space group C2/m (No. 12), with a = 7.5887 Å, b = 3.5606 Å, c = 8.9473 Å, α = 90.00°, β = 96.20° and γ = 90.00°. The inequivalent atoms are Li at (0.0000, 0.0000, 0.0000), La at (0.2379, 0.0000, 0.6874) and Tc at (0.0000, 0.5000, 0.5000).

The magnetization is 0.00 μB/atom. Its total energy is -42.677 eV/cell.



Entry 9:
A plane-wave DFT calculation with PBE-GGA was carried out for LiLaTc2 after structural relaxation.

It has space group P4mm (No. 99), with a = 3.1196 Å, b = 3.1196 Å, c = 7.9775 Å, α = 90.00°, β = 90.00° and γ = 90.00°. The inequivalent atoms are Li at (0.0000, 0.0000, 0.0000), La at (0.5000, 0.5000, 0.6619), Tc at (0.0000, 0.0000, 0.3718) and Tc at (0.5000, 0.5000, 0.2100).

The magnetization is 0.00 μB/atom. Its total energy is -26.809 eV/cell. The value obtained for the excess energy over the best structure of this formula in the dataset is 73 meV per atom.



Entry 10:
A plane-wave DFT calculation with PBE-GGA was carried out for LiLaTc2 after structural relaxation.

It has space group C2/m (No. 12), with a = 9.4563 Å, b = 3.1639 Å, c = 4.7913 Å, α = 90.00°, β = 98.25° and γ = 90.00°. The inequivalent atoms are Li at (0.0000, 0.0000, 0.0000), La at (0.0000, 0.5000, 0.5000) and Tc at (0.2291, 0.5000, 0.1977).

The magnetization is 0.00 μB/atom. Its total energy is -51.846 eV/cell. The value obtained for the excess energy over the best structure of this formula in the dataset is 295 meV per atom.



Entry 11:
A plane-wave DFT calculation with PBE-GGA was carried out for LiLaTmTc after structural relaxation.

It has space group F-43m (No. 216), with a = 7.0819 Å, b = 7.0819 Å, c = 7.0819 Å, α = 90.00°, β = 90.00° and γ = 90.00°. The inequivalent atoms are Li at (0.0000, 0.0000, 0.0000), La at (0.2500, 0.2500, 0.7500), Tm at (0.2500, 0.2500, 0.2500) and Tc at (0.0000, 0.0000, 0.5000).

The magnetization is 0.00 μB/atom. Its total energy is -86.484 eV/cell.



Entry 12:
A plane-wave DFT calculation with PBE-GGA was carried out for LiLaY2Tc after structural relaxation.

It has space group P4/mmm (No. 123), with a = 5.5076 Å, b = 5.5076 Å, c = 5.3675 Å, α = 90.00°, β = 90.00° and γ = 90.00°. The inequivalent atoms are Li at (0.0000, 0.0000, 0.0000), La at (0.5000, 0.5000, 0.0000), Y at (0.0000, 0.5000, 0.5000) and Tc at (0.5000, 0.5000, 0.5000).

The magnetization is 0.00 μB/atom. Its total energy is -29.497 eV/cell.